# 1
Below is ZrTa2Mo after structural relaxation, with properties calculated at the PBE-GGA level.

Results
Polymorph energy (0 for the lowest one) in eV per atom: 0.000
V in A^3/atom: 18.63
Symmetry: Immm

```
ZrTa2Mo
1.0
5.562 0.003 0.000
2.541 4.948 0.000
-3.515 -3.353 2.709
Ta Zr Mo
2 1 1
Direct
0.018 0.018 0.000 Ta
0.482 0.482 0.000 Ta
0.750 0.250 0.500 Zr
0.250 0.750 0.500 Mo
```

# 2
Below is ZrTa2Mo after structural relaxation, with properties calculated at the PBE-GGA level.

Results
Polymorph energy (0 for the lowest one) in eV per atom: 0.010
V in A^3/atom: 18.71
Symmetry: P4/mmm

```
ZrTa2Mo
1.0
3.257 0.000 0.000
0.000 3.257 0.000
0.000 0.000 7.055
Ta Zr Mo
2 1 1
Direct
0.000 0.000 0.970 Ta
0.000 0.000 0.530 Ta
0.500 0.500 0.250 Zr
0.500 0.500 0.750 Mo
```

# 3
Below is ZrTa2Mo after structural relaxation, with properties calculated at the PBE-GGA level.

Results
Polymorph energy (0 for the lowest one) in eV per atom: 0.264
V in A^3/atom: 19.05
Symmetry: R3m

```
ZrTa2Mo
1.0
9.117 -0.020 -0.012
8.583 3.073 -0.012
8.583 1.481 2.693
Ta Zr Mo
2 1 1
Direct
0.005 0.005 0.005 Ta
0.254 0.254 0.254 Ta
0.495 0.495 0.495 Zr
0.745 0.745 0.745 Mo
```

# 4
Below is ZrTa2Mo after structural relaxation, with properties calculated at the PBE-GGA level.

Results
Polymorph energy (0 for the lowest one) in eV per atom: 0.233
V in A^3/atom: 19.12
Symmetry: R-3m

```
ZrTa2Mo
1.0
-5.947 6.469 2.858
-7.007 6.023 -0.044
-7.943 4.143 2.265
Ta Zr Mo
2 1 1
Direct
0.491 0.491 0.491 Ta
0.009 0.009 0.009 Ta
0.250 0.250 0.250 Zr
0.750 0.750 0.750 Mo
```

# 5
Below is TbMo6 after structural relaxation, with properties calculated at the PBE-GGA level.

Results
V in A^3/atom: 23.74
E in Ha/atom: -0.310
Symmetry: Im-3m

```
TbMo6
1.0
-2.350 -4.730 -2.843
5.797 0.526 -1.449
-0.518 -0.769 5.926
Mo Tb
6 1
Direct
0.250 0.500 0.750 Mo
0.500 0.250 0.750 Mo
0.250 0.750 0.500 Mo
0.500 0.750 0.250 Mo
0.750 0.250 0.500 Mo
0.750 0.500 0.250 Mo
0.000 0.000 0.000 Tb
```

# 6
Below is TbTc4Mo after structural relaxation, with properties calculated at the PBE-GGA level.

Results
V in A^3/atom: 17.04
E in Ha/atom: -0.344
Symmetry: F-43m

```
TbTc4Mo
1.0
-0.317 3.519 -3.881
0.080 -1.594 -5.000
-4.351 0.301 -2.920
Tb Tc Mo
1 4 1
Direct
0.000 0.000 0.000 Tb
0.125 0.625 0.625 Tc
0.625 0.625 0.125 Tc
0.625 0.625 0.625 Tc
0.625 0.125 0.625 Tc
0.250 0.250 0.250 Mo
```

# 7
Below is TbTcMo after structural relaxation, with properties calculated at the PBE-GGA level.

Results
Polymorph energy (0 for the lowest one) in eV per atom: 0.000
V in A^3/atom: 19.32
Symmetry: Imma

```
TbTcMo
1.0
4.748 -0.015 -2.698
-3.101 4.494 -0.109
-0.039 0.015 5.461
Mo Tc Tb
2 2 2
Direct
0.000 0.500 0.000 Mo
0.500 0.500 0.500 Mo
0.000 0.500 0.500 Tc
0.500 0.000 0.500 Tc
0.250 0.123 0.873 Tb
0.750 0.877 0.127 Tb
```

# 8
Below is TbTcMo after structural relaxation, with properties calculated at the PBE-GGA level.

Results
Polymorph energy (0 for the lowest one) in eV per atom: 0.209
V in A^3/atom: 19.72
Symmetry: Pnma

```
TbTcMo
1.0
-1.498 -2.087 -3.466
-3.628 -1.616 2.541
-6.236 9.368 -2.945
Mo Tc Tb
4 4 4
Direct
0.750 0.251 0.382 Mo
0.250 0.749 0.618 Mo
0.750 0.751 0.118 Mo
0.250 0.249 0.882 Mo
0.750 0.250 0.993 Tc
0.750 0.750 0.507 Tc
0.250 0.250 0.493 Tc
0.250 0.750 0.007 Tc
0.250 0.751 0.334 Tb
0.250 0.251 0.166 Tb
0.750 0.749 0.834 Tb
0.750 0.249 0.666 Tb
```

# 9
Below is Tb2Tc3Mo after structural relaxation, with properties calculated at the PBE-GGA level.

Results
V in A^3/atom: 19.03
E in Ha/atom: -0.317
Symmetry: R-3m

```
Tb2Tc3Mo
1.0
-1.045 -3.812 -3.812
5.179 1.003 1.524
-1.364 -0.829 5.158
Tb Tc Mo
2 3 1
Direct
0.750 0.376 0.126 Tb
0.250 0.624 0.874 Tb
0.500 0.000 0.500 Tc
0.000 0.000 0.500 Tc
0.500 0.500 0.500 Tc
0.000 0.000 0.000 Mo
```

# 10
Below is TbTcMo after structural relaxation, with properties calculated at the PBE-GGA level.

Results
Polymorph energy (0 for the lowest one) in eV per atom: 0.115
V in A^3/atom: 18.98
Symmetry: I4mm

```
TbTcMo
1.0
-1.509 2.836 -0.285
-2.596 -1.234 1.463
4.051 0.750 4.265
Mo Tb Tc
1 1 1
Direct
0.310 0.310 0.620 Mo
0.002 0.002 0.003 Tb
0.688 0.688 0.376 Tc
```

# 11
Below is TbTh2Mo after structural relaxation, with properties calculated at the PBE-GGA level.

Results
Polymorph energy (0 for the lowest one) in eV per atom: 0.315
V in A^3/atom: 28.84
Symmetry: R-3m

```
TbTh2Mo
1.0
3.486 0.000 0.000
1.743 3.019 0.000
1.743 1.006 10.961
Mo Tb Th
1 1 2
Direct
0.500 0.500 0.500 Mo
0.000 0.000 0.000 Tb
0.900 0.900 0.299 Th
0.100 0.100 0.701 Th
```

# 12
Below is TbThMo4 after structural relaxation, with properties calculated at the PBE-GGA level.

Results
V in A^3/atom: 20.34
E in Ha/atom: -0.336
Symmetry: F-43m

```
TbThMo4
1.0
-1.114 3.171 4.439
2.806 -0.771 4.747
3.693 3.804 1.701
Mo Th Tb
4 1 1
Direct
0.625 0.625 0.625 Mo
0.625 0.625 0.126 Mo
0.126 0.625 0.625 Mo
0.625 0.126 0.625 Mo
0.250 0.250 0.250 Th
0.000 0.000 0.000 Tb
```

- Which of these has the lowest V?
  TbTc4Mo

- The highest V belongs to which entry?
  TbTh2Mo